No. 1
Hf3InH (PBE-GGA, relaxed); symmetry = C2/m; size of the total moment = 0.00 μB per atom; E = -0.5423 Ry per atom; crystal system = monoclinic; DOS(E_F) = 3.5 states/eV/f.u.
1.0
-3.841 0.294 4.897
4.277 -0.769 3.401
1.094 5.281 -3.423
Hf H In
6 2 2
Direct
0.121 0.258 0.241 Hf
0.879 0.742 0.759 Hf
0.373 0.757 0.251 Hf
0.627 0.243 0.749 Hf
0.122 0.243 0.749 Hf
0.878 0.757 0.251 Hf
0.237 0.048 0.474 H
0.763 0.952 0.526 H
0.375 0.733 0.750 In
0.625 0.267 0.250 In

No. 2
Hf4In2H (PBE-GGA, relaxed); symmetry = I4/mmm; ΔE to the lowest computed polymorph = 0 meV/atom; size of the total moment = 0.00 μB per atom; crystal system = tetragonal; DOS(E_F) = 7.7 states/eV/f.u.
1.0
4.172 0.000 0.000
0.000 4.172 0.000
2.086 2.086 7.892
H Hf In
1 4 2
Direct
0.000 0.000 0.000 H
0.174 0.174 0.651 Hf
0.826 0.826 0.349 Hf
0.500 0.000 0.000 Hf
0.000 0.500 0.000 Hf
0.360 0.360 0.281 In
0.640 0.640 0.719 In